Record 1
DFT (PBE) results for an optimized crystal structure of V5As2C.

```
data_V5As2C
_chemical_formula_sum 'V20 As8 C4'
_cell_length_a 8.068
_cell_length_b 4.076
_cell_length_c 13.935
_cell_angle_alpha 90.00
_cell_angle_beta 90.00
_cell_angle_gamma 90.00
_symmetry_space_group_name_H-M 'P n m a'
_symmetry_Int_Tables_number 62
_symmetry_space_group_name_Hall '-P 2ac 2n'
loop_
_atom_site_label
_atom_site_fract_x
_atom_site_fract_y
_atom_site_fract_z
V1 0.051 0.250 0.181
V2 0.052 0.250 0.438
V3 0.160 0.250 0.617
V4 0.227 0.250 0.027
V5 0.244 0.250 0.824
As1 0.023 0.750 0.083
As2 0.165 0.750 0.715
C1 0.083 0.750 0.430
```

M_tot: 0.038 μB per atom
ρ: 6.038 g/cm³
E: -8.200 eV/atom
energy above the most stable polymorph in this dataset: 0.000 eV per atom


Record 2
DFT (PBE) results for an optimized crystal structure of V7As2C2.

```
data_V7As2C2
_chemical_formula_sum 'V14 As4 C4'
_cell_length_a 3.057
_cell_length_b 12.363
_cell_length_c 7.030
_cell_angle_alpha 90.00
_cell_angle_beta 90.00
_cell_angle_gamma 90.00
_symmetry_space_group_name_H-M 'I m m 2'
_symmetry_Int_Tables_number 44
_symmetry_space_group_name_Hall 'I 2 -2'
loop_
_atom_site_label
_atom_site_fract_x
_atom_site_fract_y
_atom_site_fract_z
V1 0.000 0.000 0.000
V2 0.000 0.134 0.593
V3 0.000 0.316 0.388
V4 0.000 0.337 0.765
As1 0.000 0.000 0.337
As2 0.000 0.500 0.234
C1 0.000 0.247 0.084
```

M_tot: 0.000 μB per atom
ρ: 6.630 g/cm³
E: -8.680 eV/atom


Record 3
DFT (PBE) results for an optimized crystal structure of V5AsC.

```
data_V5AsC
_chemical_formula_sum 'V20 As4 C4'
_cell_length_a 8.821
_cell_length_b 5.315
_cell_length_c 8.334
_cell_angle_alpha 90.00
_cell_angle_beta 114.45
_cell_angle_gamma 90.00
_symmetry_space_group_name_H-M 'C 1 2/c 1'
_symmetry_Int_Tables_number 15
_symmetry_space_group_name_Hall '-C 2yc'
loop_
_atom_site_label
_atom_site_fract_x
_atom_site_fract_y
_atom_site_fract_z
V1 0.000 0.018 0.250
V2 0.140 0.315 0.052
V3 0.206 0.195 0.612
As1 0.000 0.490 0.750
C1 0.000 0.000 0.000
```

M_tot: 0.000 μB per atom
ρ: 6.380 g/cm³
E: -8.722 eV/atom


Record 4
DFT (PBE) results for an optimized crystal structure of V2AsWC.

```
data_V2AsWC
_chemical_formula_sum 'V2 As1 W1 C1'
_cell_length_a 3.997
_cell_length_b 3.997
_cell_length_c 4.127
_cell_angle_alpha 90.00
_cell_angle_beta 90.00
_cell_angle_gamma 90.00
_symmetry_space_group_name_H-M 'P 4/m m m'
_symmetry_Int_Tables_number 123
_symmetry_space_group_name_Hall '-P 4 2'
loop_
_atom_site_label
_atom_site_fract_x
_atom_site_fract_y
_atom_site_fract_z
V1 0.000 0.500 0.000
As1 0.000 0.000 0.500
W1 0.500 0.500 0.500
C1 0.500 0.500 0.000
```

M_tot: 0.000 μB per atom
ρ: 9.386 g/cm³
E: -8.963 eV/atom


Record 5
DFT (PBE) results for an optimized crystal structure of VAs2WC.

```
data_VAs2WC
_chemical_formula_sum 'V1 As2 W1 C1'
_cell_length_a 4.756
_cell_length_b 4.756
_cell_length_c 3.694
_cell_angle_alpha 90.00
_cell_angle_beta 90.00
_cell_angle_gamma 90.00
_symmetry_space_group_name_H-M 'P 4/m m m'
_symmetry_Int_Tables_number 123
_symmetry_space_group_name_Hall '-P 4 2'
loop_
_atom_site_label
_atom_site_fract_x
_atom_site_fract_y
_atom_site_fract_z
V1 0.000 0.000 0.000
As1 0.000 0.500 0.000
W1 0.500 0.500 0.500
C1 0.000 0.000 0.500
```

M_tot: 0.000 μB per atom
ρ: 7.882 g/cm³
E: -6.709 eV/atom


Record 6
DFT (PBE) results for an optimized crystal structure of ZrVAsC2.

```
data_ZrVAsC2
_chemical_formula_sum 'Zr1 V1 As1 C2'
_cell_length_a 4.157
_cell_length_b 4.157
_cell_length_c 5.356
_cell_angle_alpha 90.00
_cell_angle_beta 90.00
_cell_angle_gamma 90.00
_symmetry_space_group_name_H-M 'P 4/m m m'
_symmetry_Int_Tables_number 123
_symmetry_space_group_name_Hall '-P 4 2'
loop_
_atom_site_label
_atom_site_fract_x
_atom_site_fract_y
_atom_site_fract_z
Zr1 0.000 0.000 0.000
V1 0.000 0.000 0.500
As1 0.500 0.500 0.500
C1 0.000 0.500 0.000
```

M_tot: 0.000 μB per atom
ρ: 4.326 g/cm³
E: -6.094 eV/atom


Record 7
DFT (PBE) results for an optimized crystal structure of AsW2C.

```
data_AsW2C
_chemical_formula_sum 'As4 W8 C4'
_cell_length_a 5.942
_cell_length_b 5.942
_cell_length_c 5.942
_cell_angle_alpha 90.00
_cell_angle_beta 90.00
_cell_angle_gamma 90.00
_symmetry_space_group_name_H-M 'F m -3 m'
_symmetry_Int_Tables_number 225
_symmetry_space_group_name_Hall '-F 4 2 3'
loop_
_atom_site_label
_atom_site_fract_x
_atom_site_fract_y
_atom_site_fract_z
As1 0.000 0.000 0.000
W1 0.250 0.250 0.250
C1 0.000 0.000 0.500
```

M_tot: 0.000 μB per atom
ρ: 14.394 g/cm³
E: -8.983 eV/atom
energy above the most stable polymorph in this dataset: 0.200 eV per atom


Record 8
DFT (PBE) results for an optimized crystal structure of AsW2C.

```
data_AsW2C
_chemical_formula_sum 'As4 W8 C4'
_cell_length_a 4.812
_cell_length_b 4.812
_cell_length_c 11.858
_cell_angle_alpha 90.00
_cell_angle_beta 90.00
_cell_angle_gamma 90.00
_symmetry_space_group_name_H-M 'I -4 2 d'
_symmetry_Int_Tables_number 122
_symmetry_space_group_name_Hall 'I -4 2bw'
loop_
_atom_site_label
_atom_site_fract_x
_atom_site_fract_y
_atom_site_fract_z
As1 0.000 0.000 0.000
W1 0.151 0.250 0.625
C1 0.000 0.000 0.500
```

M_tot: 0.000 μB per atom
ρ: 10.999 g/cm³
E: -9.183 eV/atom
energy above the most stable polymorph in this dataset: 0.000 eV per atom


Record 9
DFT (PBE) results for an optimized crystal structure of Y2AsC.

```
data_Y2AsC
_chemical_formula_sum 'Y8 As4 C4'
_cell_length_a 6.955
_cell_length_b 6.955
_cell_length_c 7.098
_cell_angle_alpha 90.00
_cell_angle_beta 90.00
_cell_angle_gamma 90.00
_symmetry_space_group_name_H-M 'I -4 2 d'
_symmetry_Int_Tables_number 122
_symmetry_space_group_name_Hall 'I -4 2bw'
loop_
_atom_site_label
_atom_site_fract_x
_atom_site_fract_y
_atom_site_fract_z
Y1 0.192 0.250 0.125
As1 0.000 0.000 0.500
C1 0.000 0.000 0.000
```

M_tot: 0.000 μB per atom
ρ: 5.122 g/cm³
E: -7.207 eV/atom


Record 10
DFT (PBE) results for an optimized crystal structure of YAsC3.

```
data_YAsC3
_chemical_formula_sum 'Y1 As1 C3'
_cell_length_a 4.493
_cell_length_b 4.493
_cell_length_c 4.493
_cell_angle_alpha 90.00
_cell_angle_beta 90.00
_cell_angle_gamma 90.00
_symmetry_space_group_name_H-M 'P m -3 m'
_symmetry_Int_Tables_number 221
_symmetry_space_group_name_Hall '-P 4 2 3'
loop_
_atom_site_label
_atom_site_fract_x
_atom_site_fract_y
_atom_site_fract_z
Y1 0.000 0.000 0.000
As1 0.500 0.500 0.500
C1 0.000 0.000 0.500
```

M_tot: 0.000 μB per atom
ρ: 3.658 g/cm³
E: -4.918 eV/atom
energy above the most stable polymorph in this dataset: 1.257 eV per atom


Record 11
DFT (PBE) results for an optimized crystal structure of YAsC.

```
data_YAsC
_chemical_formula_sum 'Y4 As4 C4'
_cell_length_a 8.487
_cell_length_b 3.773
_cell_length_c 7.787
_cell_angle_alpha 90.00
_cell_angle_beta 118.26
_cell_angle_gamma 90.00
_symmetry_space_group_name_H-M 'C 1 2/m 1'
_symmetry_Int_Tables_number 12
_symmetry_space_group_name_Hall '-C 2y'
loop_
_atom_site_label
_atom_site_fract_x
_atom_site_fract_y
_atom_site_fract_z
Y1 0.074 0.000 0.305
As1 0.156 0.500 0.030
C1 0.088 0.500 0.534
```

M_tot: 0.000 μB per atom
ρ: 5.318 g/cm³
E: -7.158 eV/atom


Record 12
DFT (PBE) results for an optimized crystal structure of Y6As2C.

```
data_Y6As2C
_chemical_formula_sum 'Y12 As4 C2'
_cell_length_a 6.329
_cell_length_b 7.518
_cell_length_c 11.169
_cell_angle_alpha 90.00
_cell_angle_beta 122.59
_cell_angle_gamma 90.00
_symmetry_space_group_name_H-M 'P 1 21/c 1'
_symmetry_Int_Tables_number 14
_symmetry_space_group_name_Hall '-P 2ybc'
loop_
_atom_site_label
_atom_site_fract_x
_atom_site_fract_y
_atom_site_fract_z
Y1 0.117 0.031 0.248
Y2 0.196 0.700 0.054
Y3 0.380 0.168 0.054
As1 0.318 0.117 0.751
C1 0.000 0.000 0.000
```

M_tot: 0.096 μB per atom
ρ: 5.157 g/cm³
E: -7.141 eV/atom


no.,formation energy from the elements (eV per atom)
1,-0.186
2,-0.355
3,-0.227
4,0.050
5,1.410
6,2.058
7,0.962
8,0.762
9,-0.507
10,2.839
11,-0.379
12,-0.774